Version 1
A relaxed structure of ScRuBr. Source: Alexandria, functional GGA-PBE.

a = 3.197 Å, b = 3.197 Å, c = 11.128 Å
α = 90.00°, β = 90.00°, γ = 90.00°
Element x y z (fractional)
Sc 0.000 0.000 0.000
Sc 0.500 0.500 0.500
Ru 0.000 0.000 0.362
Ru 0.500 0.500 0.862
Br 0.000 0.000 0.677
Br 0.500 0.500 0.177

Calculated values
The space group is I4mm, No. 107. As for the total moment: 0.0 Bohr magnetons per cell.

---

Version 2
A relaxed structure of ScRuBr. Source: Alexandria, functional GGA-PBE.

a = 6.321 Å, b = 6.321 Å, c = 6.321 Å
α = 90.00°, β = 90.00°, γ = 90.00°
Element x y z (fractional)
Sc 0.000 0.000 0.000
Sc 0.000 0.500 0.500
Sc 0.500 0.000 0.500
Sc 0.500 0.500 0.000
Ru 0.250 0.250 0.750
Ru 0.250 0.750 0.250
Ru 0.750 0.250 0.250
Ru 0.750 0.750 0.750
Br 0.250 0.250 0.250
Br 0.250 0.750 0.750
Br 0.750 0.250 0.750
Br 0.750 0.750 0.250

Calculated values
The space group is F-43m, No. 216. As for the total moment: 2.2 Bohr magnetons per cell.

---

Referenced to the most stable arrangement, the calculated values in meV per atom are version 1 0; version 2 481.

---

Version 1
A relaxed structure of ScRuBr. Source: Alexandria, functional GGA-PBE.

a = 6.157 Å, b = 6.157 Å, c = 6.157 Å
α = 90.00°, β = 90.00°, γ = 90.00°
Element x y z (fractional)
Sc 0.000 0.000 0.000
Sc 0.000 0.500 0.500
Sc 0.500 0.000 0.500
Sc 0.500 0.500 0.000
Ru 0.250 0.250 0.250
Ru 0.250 0.750 0.750
Ru 0.750 0.250 0.750
Ru 0.750 0.750 0.250
Br 0.000 0.000 0.500
Br 0.000 0.500 0.000
Br 0.500 0.000 0.000
Br 0.500 0.500 0.500

Calculated values
The space group is F-43m, No. 216. As for the total moment: 0.0 Bohr magnetons per cell.

---

Version 2
A relaxed structure of ScRuBr. Source: Alexandria, functional GGA-PBE.

a = 3.514 Å, b = 5.285 Å, c = 13.387 Å
α = 90.00°, β = 90.00°, γ = 90.00°
Element x y z (fractional)
Sc 0.000 0.000 0.000
Sc 0.000 0.500 0.500
Sc 0.500 0.000 0.500
Sc 0.500 0.500 0.000
Ru 0.000 0.000 0.362
Ru 0.000 0.500 0.862
Ru 0.500 0.000 0.862
Ru 0.500 0.500 0.362
Br 0.000 0.000 0.654
Br 0.000 0.500 0.154
Br 0.500 0.000 0.154
Br 0.500 0.500 0.654

Calculated values
The space group is Fmm2, No. 42. As for the total moment: 2.2 Bohr magnetons per cell.

---

Version 3
A relaxed structure of ScRuBr. Source: Alexandria, functional GGA-PBE.

a = 3.289 Å, b = 3.289 Å, c = 6.597 Å
α = 90.00°, β = 90.00°, γ = 120.00°
Element x y z (fractional)
Sc 0.000 0.000 0.000
Ru 0.333 0.667 0.722
Br 0.667 0.333 0.301

Calculated values
The space group is P3m1, No. 156. As for the total moment: 0.0 Bohr magnetons per cell.

---

Referenced to the most stable arrangement, the calculated values in meV per atom are version 1 214; version 2 133; version 3 0.

---

Version 1
A relaxed structure of ScRu3Br. Source: Alexandria, functional GGA-PBE.

a = 4.547 Å, b = 4.547 Å, c = 4.547 Å
α = 90.00°, β = 90.00°, γ = 90.00°
Element x y z (fractional)
Sc 0.000 0.000 0.000
Ru 0.000 0.500 0.500
Ru 0.500 0.000 0.500
Ru 0.500 0.500 0.000
Br 0.500 0.500 0.500

Calculated values
The space group is Pm-3m, No. 221. As for the total moment: 1.0 Bohr magnetons per cell.

---

Version 2
A relaxed structure of ScRu3Br. Source: Alexandria, functional GGA-PBE.

a = 4.800 Å, b = 4.800 Å, c = 4.800 Å
α = 90.00°, β = 90.00°, γ = 90.00°
Element x y z (fractional)
Sc 0.000 0.000 0.000
Ru 0.000 0.000 0.500
Ru 0.000 0.500 0.000
Ru 0.500 0.000 0.000
Br 0.500 0.500 0.500

Calculated values
The space group is Pm-3m, No. 221. As for the total moment: 5.4 Bohr magnetons per cell.

---

Referenced to the most stable arrangement, the calculated values in meV per atom are version 1 0; version 2 739.

---

Version 1
A relaxed structure of RuSe2Br. Source: Alexandria, functional GGA-PBE.

a = 2.957 Å, b = 5.362 Å, c = 11.297 Å
α = 90.00°, β = 90.00°, γ = 90.00°
Element x y z (fractional)
Ru 0.000 0.000 0.000
Ru 0.500 0.500 0.000
Se 0.000 0.000 0.475
Se 0.000 0.500 0.171
Se 0.500 0.000 0.171
Se 0.500 0.500 0.475
Br 0.000 0.500 0.808
Br 0.500 0.000 0.808

Calculated values
The space group is Cmm2, No. 35. As for the total moment: 0.0 Bohr magnetons per cell.

---

Version 2
A relaxed structure of RuSe2Br. Source: Alexandria, functional GGA-PBE.

a = 5.044 Å, b = 3.702 Å, c = 5.141 Å
α = 90.00°, β = 116.07°, γ = 90.00°
Element x y z (fractional)
Ru 0.000 0.000 0.000
Se 0.366 0.500 0.163
Se 0.634 0.500 0.837
Br 0.000 0.000 0.500

Calculated values
The space group is P2/m, No. 10. As for the total moment: 0.0 Bohr magnetons per cell.

---

Version 3
A relaxed structure of RuSe2Br. Source: Alexandria, functional GGA-PBE.

a = 3.087 Å, b = 5.017 Å, c = 11.640 Å
α = 90.00°, β = 90.00°, γ = 90.00°
Element x y z (fractional)
Ru 0.000 0.000 0.000
Ru 0.500 0.500 0.000
Se 0.000 0.500 0.173
Se 0.000 0.500 0.827
Se 0.500 0.000 0.173
Se 0.500 0.000 0.827
Br 0.000 0.000 0.500
Br 0.500 0.500 0.500

Calculated values
The space group is Cmmm, No. 65. As for the total moment: 0.0 Bohr magnetons per cell.

---

Version 4
A relaxed structure of RuSe2Br. Source: Alexandria, functional GGA-PBE.

a = 5.377 Å, b = 5.377 Å, c = 5.475 Å
α = 90.00°, β = 90.00°, γ = 90.00°
Element x y z (fractional)
Ru 0.000 0.000 0.000
Ru 0.500 0.500 0.500
Se 0.000 0.500 0.000
Se 0.000 0.500 0.500
Se 0.500 0.000 0.000
Se 0.500 0.000 0.500
Br 0.000 0.000 0.500
Br 0.500 0.500 0.000

Calculated values
The space group is I4/mmm, No. 139. As for the total moment: 0.8 Bohr magnetons per cell.

---

Referenced to the most stable arrangement, the calculated values in meV per atom are version 1 559; version 2 0; version 3 382; version 4 658.

---

Version 1
A relaxed structure of RuSe2Br. Source: Alexandria, functional GGA-PBE.

a = 3.367 Å, b = 4.445 Å, c = 12.991 Å
α = 90.00°, β = 90.00°, γ = 90.00°
Element x y z (fractional)
Ru 0.000 0.000 0.000
Ru 0.500 0.500 0.500
Se 0.000 0.000 0.531
Se 0.000 0.500 0.637
Se 0.500 0.000 0.137
Se 0.500 0.500 0.031
Br 0.000 0.500 0.342
Br 0.500 0.000 0.842

Calculated values
The space group is Imm2, No. 44. As for the total moment: 0.4 Bohr magnetons per cell.

---

Version 2
A relaxed structure of RuSe2Br. Source: Alexandria, functional GGA-PBE.

a = 3.812 Å, b = 3.812 Å, c = 22.956 Å
α = 90.00°, β = 90.00°, γ = 120.00°
Element x y z (fractional)
Ru 0.000 0.000 0.000
Ru 0.333 0.667 0.667
Ru 0.667 0.333 0.333
Se 0.000 0.000 0.386
Se 0.000 0.000 0.614
Se 0.333 0.667 0.052
Se 0.333 0.667 0.281
Se 0.667 0.333 0.719
Se 0.667 0.333 0.948
Br 0.000 0.000 0.500
Br 0.333 0.667 0.167
Br 0.667 0.333 0.833

Calculated values
The space group is R-3m, No. 166. As for the total moment: 0.0 Bohr magnetons per cell.

---

Version 3
A relaxed structure of RuSe2Br. Source: Alexandria, functional GGA-PBE.

a = 6.720 Å, b = 6.720 Å, c = 9.715 Å
α = 90.00°, β = 90.00°, γ = 90.00°
Element x y z (fractional)
Ru 0.000 0.000 0.000
Ru 0.000 0.500 0.250
Ru 0.500 0.000 0.750
Ru 0.500 0.500 0.500
Se 0.161 0.250 0.125
Se 0.250 0.661 0.375
Se 0.250 0.839 0.875
Se 0.339 0.250 0.625
Se 0.661 0.750 0.625
Se 0.750 0.161 0.875
Se 0.750 0.339 0.375
Se 0.839 0.750 0.125
Br 0.000 0.000 0.500
Br 0.000 0.500 0.750
Br 0.500 0.000 0.250
Br 0.500 0.500 0.000

Calculated values
The space group is I-42d, No. 122. As for the total moment: 0.0 Bohr magnetons per cell.

---

Version 4
A relaxed structure of RuSe2Br. Source: Alexandria, functional GGA-PBE.

a = 2.910 Å, b = 2.910 Å, c = 38.180 Å
α = 90.00°, β = 90.00°, γ = 120.00°
Element x y z (fractional)
Ru 0.000 0.000 0.000
Ru 0.333 0.667 0.667
Ru 0.667 0.333 0.333
Se 0.000 0.000 0.062
Se 0.000 0.000 0.938
Se 0.333 0.667 0.604
Se 0.333 0.667 0.729
Se 0.667 0.333 0.271
Se 0.667 0.333 0.396
Br 0.000 0.000 0.500
Br 0.333 0.667 0.167
Br 0.667 0.333 0.833

Calculated values
The space group is R-3m, No. 166. As for the total moment: 0.0 Bohr magnetons per cell.

---

Referenced to the most stable arrangement, the calculated values in meV per atom are version 1 235; version 2 0; version 3 198; version 4 513.

---

Version 1
A relaxed structure of RuSe2Br. Source: Alexandria, functional GGA-PBE.

a = 3.033 Å, b = 4.944 Å, c = 11.122 Å
α = 90.00°, β = 90.00°, γ = 90.00°
Element x y z (fractional)
Ru 0.000 0.000 0.000
Ru 0.500 0.500 0.500
Se 0.000 0.500 0.318
Se 0.000 0.500 0.682
Se 0.500 0.000 0.182
Se 0.500 0.000 0.818
Br 0.000 0.000 0.500
Br 0.500 0.500 0.000

Calculated values
The space group is Immm, No. 71. As for the total moment: 0.0 Bohr magnetons per cell.

---

Version 2
A relaxed structure of RuSe2Br. Source: Alexandria, functional GGA-PBE.

a = 4.360 Å, b = 3.837 Å, c = 7.131 Å
α = 90.00°, β = 102.54°, γ = 90.00°
Element x y z (fractional)
Ru 0.000 0.000 0.000
Se 0.174 0.500 0.227
Se 0.578 0.000 0.156
Br 0.897 0.500 0.753

Calculated values
The space group is Pm, No. 6. As for the total moment: 0.0 Bohr magnetons per cell.

---

Referenced to the most stable arrangement, the calculated values in meV per atom are version 1 335; version 2 0.